PBE Dy3Ga2Rh3, optimized geometry; raw total energy = -6.082 eV/atom; ΔH_f (0 K) = -0.84 eV/atom; V = 640.5 Å³/cell; density of states at the Fermi level = 21.13 states/eV per cell
1.0
5.668 0.000 0.000
0.000 7.540 0.000
0.000 0.000 14.987
Ga Dy Rh
8 12 12
Direct
0.865 0.116 0.108
0.365 0.384 0.608
0.365 0.384 0.892
0.135 0.884 0.608
0.635 0.616 0.108
0.635 0.616 0.392
0.135 0.884 0.892
0.865 0.116 0.392
0.898 0.826 0.250
0.140 0.471 0.104
0.640 0.029 0.896
0.640 0.029 0.604
0.398 0.674 0.750
0.860 0.529 0.604
0.360 0.971 0.104
0.860 0.529 0.896
0.602 0.326 0.250
0.140 0.471 0.396
0.102 0.174 0.750
0.360 0.971 0.396
0.586 0.319 0.464
0.414 0.681 0.536
0.880 0.822 0.750
0.120 0.178 0.250
0.620 0.322 0.750
0.914 0.819 0.464
0.914 0.819 0.036
0.380 0.678 0.250
0.586 0.319 0.036
0.086 0.181 0.964
0.086 0.181 0.536
0.414 0.681 0.964


PBE MnPb5, optimized geometry; raw total energy = -4.151 eV/atom; ΔH_f (0 K) = 0.47 eV/atom; V = 191.4 Å³/cell; density of states at the Fermi level = 4.52 states/eV per cell
1.0
0.000 4.574 4.574
4.574 0.000 4.574
4.574 4.574 0.000
Pb Mn
5 1
Direct
0.625 0.625 0.625
0.250 0.250 0.250
0.625 0.625 0.124
0.124 0.625 0.625
0.625 0.124 0.625
0.000 0.000 0.000


PBE Tm7RuS5, optimized geometry; raw total energy = -6.297 eV/atom; V = 558.9 Å³/cell; density of states at the Fermi level = 10.31 states/eV per cell; E_form (uncorrected) = -1.588 eV per atom
1.0
3.780 -0.001 0.000
-1.891 6.349 0.007
0.000 -0.027 23.286
Tm S Ru
14 10 2
Direct
0.795 0.590 0.680
0.206 0.411 0.180
0.354 0.707 0.537
0.190 0.380 0.320
0.897 0.793 0.379
0.918 0.836 0.110
0.104 0.208 0.879
0.464 0.929 0.249
0.647 0.294 0.037
0.083 0.166 0.610
0.811 0.622 0.820
0.632 0.264 0.466
0.369 0.737 0.966
0.536 0.072 0.749
0.717 0.434 0.571
0.270 0.539 0.430
0.455 0.910 0.861
0.010 0.019 0.999
0.560 0.119 0.141
0.731 0.462 0.930
0.441 0.882 0.641
0.546 0.091 0.361
0.284 0.567 0.071
0.991 0.982 0.499
0.191 0.383 0.758
0.809 0.618 0.258


PBE LiNdPuRu, optimized geometry; raw total energy = -7.581 eV/atom; ΔH_f (0 K) = -0.01 eV/atom; V = 87.0 Å³/cell; density of states at the Fermi level = 10.56 states/eV per cell
1.0
-3.303 3.279 1.751
-1.769 -0.480 4.623
1.343 3.241 3.525
Pu Nd Ru Li
1 1 1 1
Direct
0.500 0.500 0.500
0.000 0.000 0.000
0.750 0.750 0.750
0.250 0.250 0.250


PBE GaMo2C, optimized geometry; raw total energy = -8.556 eV/atom; ΔH_f (0 K) = -0.08 eV/atom; V = 108.7 Å³/cell; E above lowest polymorph = 47 meV/atom; density of states at the Fermi level = 3.99 states/eV per cell
1.0
-0.226 2.011 2.241
-0.733 -3.960 3.469
6.923 -0.712 -0.696
Mo Ga C
4 2 2
Direct
0.653 0.047 0.808
0.830 0.439 0.160
0.347 0.953 0.192
0.170 0.561 0.840
0.012 0.248 0.499
0.988 0.752 0.501
0.753 0.763 0.006
0.247 0.237 0.994


PBE Y3CuTc, optimized geometry; raw total energy = -6.107 eV/atom; ΔH_f (0 K) = 0.66 eV/atom; V = 138.8 Å³/cell; density of states at the Fermi level = 7.57 states/eV per cell
1.0
5.177 0.000 0.000
0.000 5.177 0.000
0.000 0.000 5.177
Y Cu Tc
3 1 1
Direct
0.000 0.500 0.000
0.500 0.000 0.000
0.000 0.000 0.500
0.000 0.000 0.000
0.500 0.500 0.500


PBE CaGdTl4, optimized geometry; raw total energy = -4.373 eV/atom; ΔH_f (0 K) = -0.12 eV/atom; V = 178.0 Å³/cell; density of states at the Fermi level = 7.73 states/eV per cell
1.0
-0.043 0.872 6.253
1.625 -4.727 3.857
5.443 0.256 3.189
Gd Ca Tl
1 1 4
Direct
0.000 0.000 0.000
0.250 0.250 0.250
0.625 0.124 0.625
0.625 0.625 0.625
0.124 0.625 0.625
0.625 0.625 0.124


PBE CeThZnRe, optimized geometry; raw total energy = -6.772 eV/atom; ΔH_f (0 K) = 0.00 eV/atom; V = 91.5 Å³/cell; density of states at the Fermi level = 4.18 states/eV per cell
1.0
5.059 0.000 0.000
2.529 4.381 0.000
2.529 1.460 4.130
Ce Zn Re Th
1 1 1 1
Direct
0.250 0.250 0.250
0.000 0.000 0.000
0.500 0.500 0.500
0.750 0.750 0.750


PBE TlO6F2, optimized geometry; raw total energy = -4.151 eV/atom; V = 160.7 Å³/cell; density of states at the Fermi level = 1.36 states/eV per cell; E_form (uncorrected) = -0.166 eV per atom
1.0
-1.160 2.340 -2.674
-0.523 -5.432 -3.672
-5.893 -0.341 3.122
O F Tl
6 2 1
Direct
0.922 0.304 0.534
0.920 0.535 0.307
0.078 0.696 0.466
0.910 0.647 0.645
0.080 0.465 0.693
0.090 0.353 0.355
0.500 0.862 0.136
0.500 0.138 0.864
0.000 0.000 0.000


PBE Li2ErMg2, optimized geometry; raw total energy = -2.350 eV/atom; ΔH_f (0 K) = -0.03 eV/atom; V = 230.3 Å³/cell; E above lowest polymorph = 0 meV/atom; density of states at the Fermi level = 6.54 states/eV per cell
1.0
-0.093 0.974 -3.329
-6.372 -2.626 -0.590
1.074 9.929 4.683
Er Mg Li
2 4 4
Direct
0.000 0.250 0.000
0.000 0.750 0.000
0.383 0.824 0.766
0.617 0.676 0.234
0.617 0.176 0.234
0.383 0.324 0.766
0.206 0.560 0.413
0.794 0.940 0.587
0.794 0.440 0.587
0.206 0.060 0.413


PBE BeCoRu2, optimized geometry; raw total energy = -7.312 eV/atom; ΔH_f (0 K) = 0.03 eV/atom; V = 47.4 Å³/cell; density of states at the Fermi level = 5.06 states/eV per cell
1.0
4.590 -0.005 0.000
1.922 4.168 0.000
-3.256 -2.081 2.477
Co Ru Be
1 2 1
Direct
0.750 0.250 0.500
0.000 0.000 0.000
0.250 0.750 0.500
0.500 0.500 0.000


PBE ThSc2Ti, optimized geometry; raw total energy = -6.904 eV/atom; ΔH_f (0 K) = 0.09 eV/atom; V = 95.8 Å³/cell; E above lowest polymorph = 0 meV/atom; density of states at the Fermi level = 3.99 states/eV per cell
1.0
-0.599 3.014 -3.611
-3.938 -1.941 -0.966
-2.092 2.878 2.748
Sc Th Ti
2 1 1
Direct
0.000 0.500 0.000
0.000 0.000 0.500
0.500 0.000 0.000
0.500 0.500 0.500


What is the formula in the fifth record? GaMo2C


Which of these has the highest raw total energy? Li2ErMg2


Which of these has the highest raw total energy? Li2ErMg2